1.
Here is Tb2EuHo after structural relaxation from the Alexandria database. Energies are from GGA-PBE.

```
4
Lattice="-3.110 1.196 1.822 0.475 -4.537 3.790 3.370 3.332 3.566" Properties=species:S:1:pos:R:3 pbc="T T T"
Eu -1.555 0.598 0.911
Tb 0.238 -2.268 1.895
Tb 1.685 1.666 1.783
Ho 0.367 -0.004 4.589
```

ΔE_f   0.154 eV per atom
Final energy   -23.5 eV/cell
ΔE to the lowest computed polymorph   0.101 eV per atom

***

2.
Here is SmPu2Te3 after structural relaxation from the Alexandria database. Energies are from GGA-PBE.

```
12
Lattice="-0.324 -3.324 2.839 3.391 0.192 -2.771 11.612 11.698 15.021" Properties=species:S:1:pos:R:3 pbc="T T T"
Pu 1.884 -1.175 2.223
Pu 8.928 5.846 7.864
Pu 12.795 9.741 12.866
Pu 5.751 2.720 7.225
Te 10.616 7.622 13.519
Te 0.000 0.000 0.000
Te 6.049 2.945 4.139
Te 8.630 5.621 10.950
Te 5.806 5.849 7.510
Te 4.063 0.944 1.570
Sm 2.903 2.924 3.755
Sm 8.709 8.773 11.266
```

Final energy   -99.8 eV/cell
Formation energy (no corrections)   -1.181 eV per atom

***

3.
Here is SiSn2PS after structural relaxation from the Alexandria database. Energies are from GGA-PBE.

```
5
Lattice="5.247 0.000 0.000 0.000 4.370 0.000 0.000 0.000 5.247" Properties=species:S:1:pos:R:3 pbc="T T T"
Sn 2.623 0.000 0.000
Sn 0.000 0.000 2.623
Si 2.623 2.185 2.623
S 0.000 2.185 0.000
P 0.000 0.000 0.000
```

Final energy   -19.9 eV/cell
Formation energy (no corrections)   0.606 eV per atom